Run a
# AlTl2Rh (PBE, optimized geometry)
# Space-group type: R-3m
data_AlTl2Rh
_chemical_formula_sum 'Al1 Tl2 Rh1'
_cell_length_a 9.118
_cell_length_b 9.118
_cell_length_c 9.118
_cell_angle_alpha 21.10
_cell_angle_beta 21.10
_cell_angle_gamma 21.10
_space_group_name_H-M_alt 'P 1'
_space_group_IT_number 1
_space_group_name_Hall 'P 1'
loop_
_atom_site_label
_atom_site_type_symbol
_atom_site_fract_x
_atom_site_fract_y
_atom_site_fract_z
Tl1 Tl 0.007 0.007 0.007
Tl2 Tl 0.493 0.493 0.493
Rh1 Rh 0.750 0.750 0.750
Al1 Al 0.250 0.250 0.250

Run b
# AlTl2Rh (PBE, optimized geometry)
# Space-group type: Fm-3m
data_AlTl2Rh
_chemical_formula_sum 'Al1 Tl2 Rh1'
_cell_length_a 4.890
_cell_length_b 4.890
_cell_length_c 4.890
_cell_angle_alpha 60.00
_cell_angle_beta 60.00
_cell_angle_gamma 60.00
_space_group_name_H-M_alt 'P 1'
_space_group_IT_number 1
_space_group_name_Hall 'P 1'
loop_
_atom_site_label
_atom_site_type_symbol
_atom_site_fract_x
_atom_site_fract_y
_atom_site_fract_z
Tl1 Tl 0.250 0.250 0.250
Tl2 Tl 0.750 0.750 0.750
Rh1 Rh 0.500 0.500 0.500
Al1 Al 0.000 0.000 0.000

Quick ranking, most stable first: run a, run b.

Run a
# AlTl2Rh (PBE, optimized geometry)
# Space-group type: Cmmm
data_AlTl2Rh
_chemical_formula_sum 'Al1 Tl2 Rh1'
_cell_length_a 3.151
_cell_length_b 3.151
_cell_length_c 8.627
_cell_angle_alpha 90.00
_cell_angle_beta 90.00
_cell_angle_gamma 91.23
_space_group_name_H-M_alt 'P 1'
_space_group_IT_number 1
_space_group_name_Hall 'P 1'
loop_
_atom_site_label
_atom_site_type_symbol
_atom_site_fract_x
_atom_site_fract_y
_atom_site_fract_z
Tl1 Tl 0.000 0.000 0.965
Tl2 Tl 0.000 0.000 0.535
Rh1 Rh 0.500 0.500 0.750
Al1 Al 0.500 0.500 0.250

Run b
# AlTl2Rh (PBE, optimized geometry)
# Space-group type: Cm
data_AlTl2Rh
_chemical_formula_sum 'Al1 Tl2 Rh1'
_cell_length_a 4.635
_cell_length_b 4.635
_cell_length_c 7.459
_cell_angle_alpha 72.77
_cell_angle_beta 72.77
_cell_angle_gamma 39.06
_space_group_name_H-M_alt 'P 1'
_space_group_IT_number 1
_space_group_name_Hall 'P 1'
loop_
_atom_site_label
_atom_site_type_symbol
_atom_site_fract_x
_atom_site_fract_y
_atom_site_fract_z
Tl1 Tl 0.086 0.086 0.967
Tl2 Tl 0.259 0.259 0.284
Rh1 Rh 0.718 0.718 0.624
Al1 Al 0.437 0.437 0.625

Quick ranking, most stable first: run b, run a.

Run a
# AlTl2Rh (PBE, optimized geometry)
# Space-group type: P4/mmm
data_AlTl2Rh
_chemical_formula_sum 'Al1 Tl2 Rh1'
_cell_length_a 4.109
_cell_length_b 4.449
_cell_length_c 4.449
_cell_angle_alpha 90.00
_cell_angle_beta 90.00
_cell_angle_gamma 90.00
_space_group_name_H-M_alt 'P 1'
_space_group_IT_number 1
_space_group_name_Hall 'P 1'
loop_
_atom_site_label
_atom_site_type_symbol
_atom_site_fract_x
_atom_site_fract_y
_atom_site_fract_z
Tl1 Tl 0.000 0.000 0.000
Tl2 Tl 0.000 0.500 0.500
Rh1 Rh 0.500 0.000 0.500
Al1 Al 0.500 0.500 0.000

Run b
# AlTl2Rh (PBE, optimized geometry)
# Space-group type: Imm2
data_AlTl2Rh
_chemical_formula_sum 'Al1 Tl2 Rh1'
_cell_length_a 6.875
_cell_length_b 6.875
_cell_length_c 6.875
_cell_angle_alpha 154.35
_cell_angle_beta 140.19
_cell_angle_gamma 47.96
_space_group_name_H-M_alt 'P 1'
_space_group_IT_number 1
_space_group_name_Hall 'P 1'
loop_
_atom_site_label
_atom_site_type_symbol
_atom_site_fract_x
_atom_site_fract_y
_atom_site_fract_z
Tl1 Tl 0.951 0.951 0.000
Tl2 Tl 0.253 0.753 0.500
Rh1 Rh 0.726 0.226 0.500
Al1 Al 0.570 0.570 0.000

Quick ranking, most stable first: run b, run a.